<one>
VSiC3 | GGA-PBE | optimized geometry

Cell: 3.920 3.920 3.920 Å, 90.00 90.00 90.00°
Fractional positions:
Si: 0.500 0.500 0.500
C: 0.000 0.500 0.000
C: 0.000 0.000 0.500
C: 0.500 0.000 0.000
V: 0.000 0.000 0.000

Computed properties:
Fermi-level density of states	4.32	states/eV/cell


<two>
VSiC3 | GGA-PBE | optimized geometry

Cell: 3.707 3.707 3.707 Å, 90.00 90.00 90.00°
Last column: magnetic moment on the atom in μB.
Fractional positions:
Si: 0.000 0.000 0.000  0.02
C: 0.000 0.500 0.000  0.03
C: 0.000 0.000 0.500  0.03
C: 0.500 0.000 0.000  0.03
V: 0.500 0.500 0.500  2.01

Computed properties:
Fermi-level density of states	5.74	states/eV/cell


Most stable structure - <two>; separation to the second - 168 meV/atom.